Entry 1:
# LaTbPrAg

A geometry-optimized LaTbPrAg structure (PBE-GGA, Alexandria).

The space group is F-43m (No. 216) and the conventional cell measures 7.855, 7.855 and 7.855 Å, with angles of 90.00, 90.00 and 90.00 degrees. The inequivalent atoms are La at (0.000, 0.000, 0.000), Tb at (0.250, 0.250, 0.250), Pr at (0.000, 0.000, 0.500) and Ag at (0.250, 0.250, 0.750).

For the relative energy among the computed polymorphs, the calculation gives 179.9 meV per atom. The calculated volume comes out at 484.6 Å³/cell. For the formation energy, the calculation gives 58 meV per atom. The total energy comes out at -4.239 eV/atom. The mass density is 7.5 g cm⁻³.

---

Entry 2:
# MnFeCl2

A geometry-optimized MnFeCl2 structure (PBE-GGA, Alexandria).

The space group is Pm (No. 6) and the conventional cell measures 4.792, 3.155 and 6.332 Å, with angles of 90.00, 110.77 and 90.00 degrees. The inequivalent atoms are Mn at (0.000, 0.000, 0.000), Fe at (0.641, 0.500, 0.121), Cl at (0.193, 0.500, 0.789) and Cl at (0.487, 0.000, 0.338).

For the relative energy among the computed polymorphs, the calculation gives 211.5 meV per atom. The value obtained for the formation energy (no corrections) is -149 meV/atom. The calculated volume comes out at 89.5 Å³/cell. The total energy comes out at -5.480 eV/atom. The mass density is 3.4 g cm⁻³.

---

Entry 3:
# UNiSb2

A geometry-optimized UNiSb2 structure (PBE-GGA, Alexandria).

The space group is Amm2 (No. 38) and the conventional cell measures 3.177, 4.165 and 15.413 Å, with angles of 90.00, 90.00 and 90.00 degrees. The inequivalent atoms are U at (0.000, 0.000, 0.000), Ni at (0.500, 0.000, 0.568), Sb at (0.500, 0.000, 0.177) and Sb at (0.500, 0.000, 0.384).

The value obtained for the formation energy (no corrections) is -78 meV/atom. The calculated volume comes out at 203.9 Å³/cell. The total energy comes out at -6.407 eV/atom. The mass density is 8.8 g cm⁻³.

---

Entry 4:
# AgHg2Au6

A geometry-optimized AgHg2Au6 structure (PBE-GGA, Alexandria).

The space group is C2/m (No. 12) and the conventional cell measures 5.808, 14.306 and 4.607 Å, with angles of 90.00, 114.48 and 90.00 degrees. The inequivalent atoms are Ag at (0.000, 0.000, 0.000), Hg at (0.000, 0.160, 0.500), Au at (0.158, 0.500, 0.332) and Au at (0.163, 0.338, 0.835).

The calculated volume comes out at 348.4 Å³/cell. For the formation energy, the calculation gives 62 meV per atom. The total energy comes out at -2.507 eV/atom. The mass density is 16.1 g cm⁻³.